First-principles (PBE) data for a relaxed structure of LiPaFeRu, as listed in the Alexandria database.

Cell: 6.2610 6.2610 6.2610 Å, 90.00 90.00 90.00°
Last column: nearest neighbours and their distance in Å.
Space group F-43m (No. 216)
Inequivalent atoms, fractional coordinates:
Li1 0.0000 0.0000 0.0000 (multiplicity 4)  4 Fe 2.71, 4 Ru 2.71
Pa1 0.0000 0.0000 0.5000 (multiplicity 4)  4 Fe 2.71, 4 Ru 2.71
Fe1 0.2500 0.2500 0.2500 (multiplicity 4)  4 Li 2.71, 4 Pa 2.71
Ru1 0.2500 0.2500 0.7500 (multiplicity 4)  4 Li 2.71, 4 Pa 2.71

Properties
Uncorrected energy, eV per atom: -7.383
Total magnetization, μB per cell: 0.00
Formation enthalpy at 0 K, meV per atom: -96

First-principles (PBE) data for a relaxed structure of LiPa2FeS6, as listed in the Alexandria database.

Cell: 6.4608 6.4608 18.2304 Å, 90.00 90.00 120.00°
Last column: nearest neighbours and their distance in Å.
Space group R3 (No. 146, hexagonal axes)
Inequivalent atoms, fractional coordinates:
Li1 0.0000 0.0000 0.0000 (multiplicity 3)  6 S 2.53-2.80
Pa1 0.0000 0.0000 0.3095 (multiplicity 3)  6 S 2.65-2.68
Pa2 0.0000 0.0000 0.8132 (multiplicity 3)  6 S 2.65-2.66
Fe1 0.0000 0.0000 0.4826 (multiplicity 3)  6 S 2.47-2.56
S1 0.0079 0.3583 0.2334 (multiplicity 9)  1 Fe 2.56, 2 Pa 2.65-2.68, 1 Li 2.80
S2 0.0268 0.6773 0.0707 (multiplicity 9)  1 Fe 2.47, 1 Li 2.53, 2 Pa 2.65-2.66

Properties
Energy relative to the elements, uncorrected, eV/atom: -1.25
Uncorrected energy, eV per atom: -6.665
Total magnetization, μB per cell: 8.84

First-principles (PBE) data for a relaxed structure of Li4Pa3FeS8, as listed in the Alexandria database.

Cell: 7.4740 7.4740 19.0149 Å, 90.00 90.00 120.00°
Last column: nearest neighbours and their distance in Å.
Space group R-3m (No. 166, hexagonal axes)
Inequivalent atoms, fractional coordinates:
Li1 0.0000 0.0000 0.0000 (multiplicity 3)  6 S 2.75
Li2 0.0000 0.5000 0.0000 (multiplicity 9)  6 S 2.60-2.64
Pa1 0.0000 0.5000 0.5000 (multiplicity 9)  6 S 2.72-2.76
Fe1 0.0000 0.0000 0.5000 (multiplicity 3)  6 S 2.60
S1 0.0000 0.0000 0.2573 (multiplicity 6)  3 Li 2.60, 3 Pa 2.76
S2 0.0142 0.5071 0.2500 (multiplicity 18)  1 Fe 2.60, 3 Li 2.64-2.75, 2 Pa 2.72

Properties
Energy relative to the elements, uncorrected, eV/atom: -1.30
Uncorrected energy, eV per atom: -6.151
Total magnetization, μB per cell: 17.61

First-principles (PBE) data for a relaxed structure of LiPaFeSb, as listed in the Alexandria database.

Cell: 6.5285 6.5285 6.5285 Å, 90.00 90.00 90.00°
Last column: nearest neighbours and their distance in Å.
Space group F-43m (No. 216)
Inequivalent atoms, fractional coordinates:
Li1 0.0000 0.0000 0.0000 (multiplicity 4)  4 Pa 2.83, 4 Sb 2.83
Pa1 0.2500 0.2500 0.2500 (multiplicity 4)  4 Fe 2.83, 4 Li 2.83
Fe1 0.0000 0.0000 0.5000 (multiplicity 4)  4 Sb 2.83, 4 Pa 2.83
Sb1 0.2500 0.2500 0.7500 (multiplicity 4)  4 Fe 2.83, 4 Li 2.83

Properties
Energy relative to the elements, uncorrected, eV/atom: -0.19
Uncorrected energy, eV per atom: -6.184
Total magnetization, μB per cell: 1.02

First-principles (PBE) data for a relaxed structure of Li3Pa3FeSe8, as listed in the Alexandria database.

Cell: 7.9167 7.9167 19.8279 Å, 90.00 90.00 120.00°
Last column: nearest neighbours and their distance in Å.
Space group R-3m (No. 166, hexagonal axes)
Inequivalent atoms, fractional coordinates:
Li1 0.0000 0.5000 0.0000 (multiplicity 9)  6 Se 2.75-2.80
Pa1 0.0000 0.5000 0.5000 (multiplicity 9)  6 Se 2.84-2.89
Fe1 0.0000 0.0000 0.5000 (multiplicity 3)  6 Se 2.71
Se1 0.0000 0.0000 0.2561 (multiplicity 6)  3 Li 2.75, 3 Pa 2.89
Se2 0.0156 0.5078 0.2481 (multiplicity 18)  1 Fe 2.71, 2 Li 2.80, 2 Pa 2.84

Properties
Energy relative to the elements, uncorrected, eV/atom: -1.11
Uncorrected energy, eV per atom: -5.813
Total magnetization, μB per cell: 19.51

First-principles (PBE) data for a relaxed structure of LiPaFeSn, as listed in the Alexandria database.

Cell: 6.5355 6.5355 6.5355 Å, 90.00 90.00 90.00°
Last column: nearest neighbours and their distance in Å.
Space group F-43m (No. 216)
Inequivalent atoms, fractional coordinates:
Li1 0.0000 0.0000 0.0000 (multiplicity 4)  4 Sn 2.83, 4 Pa 2.83
Pa1 0.2500 0.2500 0.2500 (multiplicity 4)  4 Fe 2.83, 4 Li 2.83
Fe1 0.0000 0.0000 0.5000 (multiplicity 4)  4 Sn 2.83, 4 Pa 2.83
Sn1 0.2500 0.2500 0.7500 (multiplicity 4)  4 Fe 2.83, 4 Li 2.83

Properties
Uncorrected energy, eV per atom: -6.144
Total magnetization, μB per cell: 0.00
Formation enthalpy at 0 K, meV per atom: -175